Entry 1:
# PuTl2HBr6 | Alexandria | PBE | relaxed
# spin magnetization: 5.00 μB/f.u.
# density of states at the Fermi level: 0.8630 states/eV/atom
# uncorrected energy: -4.1716 eV/atom
data_PuTl2HBr6
_symmetry_space_group_name_H-M 'P 1'
_symmetry_Int_Tables_number 1
_symmetry_space_group_name_Hall 'P 1'
_cell_length_a 6.724
_cell_length_b 6.314
_cell_length_c 16.766
_cell_angle_alpha 90.00
_cell_angle_beta 106.11
_cell_angle_gamma 90.00
loop_
_atom_site_label
_atom_site_fract_x
_atom_site_fract_y
_atom_site_fract_z
Pu1 0.000 0.500 0.500
Pu2 0.500 0.000 0.000
Tl1 0.938 0.299 0.212
Tl2 0.562 0.799 0.288
Tl3 0.438 0.201 0.712
Tl4 0.062 0.701 0.788
Br1 0.567 0.766 0.864
Br2 0.218 0.219 0.865
Br3 0.433 0.234 0.136
Br4 0.641 0.774 0.499
Br5 0.359 0.226 0.501
Br6 0.859 0.274 0.001
Br7 0.782 0.781 0.135
Br8 0.067 0.734 0.364
Br9 0.718 0.281 0.365
Br10 0.933 0.266 0.636
Br11 0.141 0.726 0.999
Br12 0.282 0.719 0.635
H1 0.500 0.000 0.500
H2 0.000 0.500 0.000


Entry 2:
# Rb6H5Br | Alexandria | PBE | relaxed
# spin magnetization: 0.00 μB/f.u.
# density of states at the Fermi level: 0.0000 states/eV/atom
# uncorrected energy: -2.4346 eV/atom
data_Rb6H5Br
_symmetry_space_group_name_H-M 'P 1'
_symmetry_Int_Tables_number 1
_symmetry_space_group_name_Hall 'P 1'
_cell_length_a 7.626
_cell_length_b 7.626
_cell_length_c 7.603
_cell_angle_alpha 99.60
_cell_angle_beta 99.60
_cell_angle_gamma 119.96
loop_
_atom_site_label
_atom_site_fract_x
_atom_site_fract_y
_atom_site_fract_z
Rb1 0.265 0.265 0.728
Rb2 0.912 0.552 0.744
Rb3 0.448 0.088 0.256
Rb4 0.552 0.912 0.744
Rb5 0.088 0.448 0.256
Rb6 0.735 0.735 0.272
H1 0.668 0.332 0.000
H2 0.332 0.668 0.000
H3 0.166 0.834 0.500
H4 0.834 0.166 0.500
H5 0.500 0.500 0.500
Br1 0.000 0.000 0.000


Which value of spin magnetization does entry 1 give?
5.00 μB/f.u.


Look up the spin magnetization of the first one.
5.00 μB/f.u.